This record from the Alexandria database describes a geometry-optimized HgIr2Cl structure. The functional is GGA-PBE.

## Properties
The value obtained for the formation energy (no corrections) is 0.307 eV per atom. The calculation puts the energy relative to the lowest polymorph listed for this composition at 0 meV/atom.

Lattice parameters (Å, degrees): 2.840 3.495 7.856 90.00 90.86 90.00
Space group Pm (No. 6)
Unique sites:
Hg1 0.000 0.000 0.000
Ir1 0.017 0.000 0.415
Ir2 0.509 0.500 0.239
Cl1 0.026 0.500 0.629

---

This record from the Alexandria database describes a geometry-optimized La4S6I structure. The functional is GGA-PBE.

## Properties
The value obtained for the formation energy (no corrections) is -1.867 eV per atom.

Lattice parameters (Å, degrees): 8.8386 8.8386 4.1572 90.00 90.00 120.00
Space group P-6m2 (No. 187)
Unique sites:
La1 0.0000 0.0000 0.0000
La2 0.5119 0.0238 0.5000
S1 0.1383 0.2766 0.5000
S2 0.4206 0.2103 0.0000
I1 0.3333 0.6667 0.0000

---

This record from the Alexandria database describes a geometry-optimized Dy12Er7Cd structure. The functional is GGA-PBE.

## Properties
As for the formation energy from the elements: 0.142 eV/atom.

Lattice parameters (Å, degrees): 14.7254 14.7254 10.0033 90.00 90.00 120.00
Space group R-3 (No. 148, hexagonal axes)
Unique sites:
Dy1 0.0423 0.2523 0.0740
Dy2 0.0451 0.1917 0.7538
Er1 0.0000 0.0000 0.0000
Er2 0.0674 0.2399 0.4278
Cd1 0.0000 0.0000 0.5000

---

This record from the Alexandria database describes a geometry-optimized Ta2SeO2 structure. The functional is GGA-PBE.

## Properties
The value obtained for the formation energy (no corrections) is -0.781 eV per atom.

Lattice parameters (Å, degrees): 6.812 6.812 2.804 90.00 90.00 90.00
Space group P4/mbm (No. 127)
Unique sites:
Ta1 0.151 0.349 0.000
Se1 0.000 0.000 0.000
O1 0.125 0.625 0.500

---

This record from the Alexandria database describes a geometry-optimized Dy5Tm structure. The functional is GGA-PBE.

## Properties
As for the formation energy from the elements: 0.019 eV/atom.

Lattice parameters (Å, degrees): 11.148 4.981 7.049 90.00 108.41 90.00
Space group C2/m (No. 12)
Unique sites:
Dy1 0.000 0.000 0.000
Dy2 0.166 0.500 0.833
Dy3 0.167 0.500 0.334
Tm1 0.000 0.000 0.500

---

This record from the Alexandria database describes a geometry-optimized Zr2Ni2Mo structure. The functional is GGA-PBE.

## Properties
As for the formation energy from the elements: -0.138 eV/atom. The calculation puts the energy relative to the lowest polymorph listed for this composition at 0 meV/atom.

Lattice parameters (Å, degrees): 7.229 7.229 3.163 90.00 90.00 90.00
Space group P4/mbm (No. 127)
Unique sites:
Zr1 0.177 0.323 0.000
Ni1 0.121 0.621 0.500
Mo1 0.000 0.000 0.500

---

This record from the Alexandria database describes a geometry-optimized TaAl6Zn2 structure. The functional is GGA-PBE.

## Properties
As for the formation energy from the elements: 0.007 eV/atom.

Lattice parameters (Å, degrees): 8.992 4.783 7.045 90.00 103.72 90.00
Space group C2/m (No. 12)
Unique sites:
Ta1 0.000 0.000 0.000
Al1 0.100 0.000 0.673
Al2 0.173 0.500 0.982
Al3 0.219 0.000 0.359
Zn1 0.061 0.500 0.310

---

This record from the Alexandria database describes a geometry-optimized AcHfBO5 structure. The functional is GGA-PBE.

## Properties
The value obtained for the formation energy (no corrections) is -3.083 eV per atom.

Lattice parameters (Å, degrees): 6.676 9.018 7.305 90.00 111.43 90.00
Space group C2/c (No. 15)
Unique sites:
Ac1 0.000 0.156 0.250
Hf1 0.000 0.500 0.000
B1 0.000 0.186 0.750
O1 0.000 0.418 0.250
O2 0.091 0.284 0.628
O3 0.172 0.084 0.894

---

This record from the Alexandria database describes a geometry-optimized KBaY structure. The functional is GGA-PBE.

## Properties
As for the formation energy from the elements: 0.919 eV/atom. The calculation puts the energy relative to the lowest polymorph listed for this composition at 594 meV/atom.

Lattice parameters (Å, degrees): 8.888 8.888 8.888 90.00 90.00 90.00
Space group F-43m (No. 216)
Unique sites:
K1 0.000 0.000 0.000
Ba1 0.250 0.250 0.250
Y1 0.250 0.250 0.750

---

This record from the Alexandria database describes a geometry-optimized CaCoRe2 structure. The functional is GGA-PBE.

## Properties
As for the formation energy from the elements: 0.752 eV/atom. The calculation puts the energy relative to the lowest polymorph listed for this composition at 410 meV/atom.

Lattice parameters (Å, degrees): 5.277 9.383 2.600 90.00 90.00 90.00
Space group Cmmm (No. 65)
Unique sites:
Ca1 0.000 0.000 0.000
Co1 0.000 0.500 0.000
Re1 0.250 0.250 0.500

---

This record from the Alexandria database describes a geometry-optimized PrDyHfN3 structure. The functional is GGA-PBE.

## Properties
The value obtained for the formation energy (no corrections) is -1.359 eV per atom.

Lattice parameters (Å, degrees): 6.505 3.313 9.604 90.00 94.01 90.00
Space group P2_1/m (No. 11)
Unique sites:
Pr1 0.159 0.250 0.212
Dy1 0.205 0.250 0.574
Hf1 0.352 0.750 0.894
N1 0.149 0.250 0.838
N2 0.151 0.750 0.419
N3 0.402 0.750 0.108

---

This record from the Alexandria database describes a geometry-optimized Te3Au5Br12 structure. The functional is GGA-PBE.

## Properties
The value obtained for the formation energy (no corrections) is 0.094 eV per atom.

Lattice parameters (Å, degrees): 17.502 17.502 17.502 90.00 90.00 90.00
Space group Ia-3d (No. 230)
Unique sites:
Te1 0.000 0.250 0.125
Au1 0.000 0.000 0.000
Au2 0.000 0.250 0.375
Br1 0.007 0.040 0.660

---

Please write out number 6 again, unchanged.
This record from the Alexandria database describes a geometry-optimized Zr2Ni2Mo structure. The functional is GGA-PBE.

## Properties
As for the formation energy from the elements: -0.138 eV/atom. The calculation puts the energy relative to the lowest polymorph listed for this composition at 0 meV/atom.

Lattice parameters (Å, degrees): 7.229 7.229 3.163 90.00 90.00 90.00
Space group P4/mbm (No. 127)
Unique sites:
Zr1 0.177 0.323 0.000
Ni1 0.121 0.621 0.500
Mo1 0.000 0.000 0.500

---

- What is the formula in the twelfth record?
  Te3Au5Br12